The following is a DFT calculation (PBE) of a geometry-optimized Zr4AgHg3 structure.

The structure in POSCAR format:
```
Zr4AgHg3
1.0
4.2662 0.0000 -1.1516
-0.3051 4.2610 -1.1304
0.1976 0.1687 9.2103
Zr Hg Ag
4 3 1
Cartesian
2.5207 2.7009 0.8603
3.6185 3.8591 4.9271
1.6380 1.7288 6.0680
0.5402 0.5706 2.0012
3.2232 1.1506 3.4628
0.9355 3.2791 3.4655
-0.1526 2.1305 -0.5652
2.1331 0.0000 -0.5758
```

Values from the calculation:
- Energy of formation: -0.135 eV/atom
- Volume: 169 Å³ per cell
- Symmetry: No. 139